Below is a relaxed Ce4SnRu2 crystal, with properties calculated at the GGA-PBE level.

Summary:
energy of formation = -0.3999 eV per atom
E above lowest polymorph = 0.000 eV per atom

a = 4.5602 Å, b = 6.3581 Å, c = 13.4277 Å
α = 90.00°, β = 90.00°, γ = 111.02°
Site moments in Bohr magnetons follow the coordinates.
Atoms (fractional coordinates):
Ce1 0.5000 0.0000 0.5000  0.20
Ce2 0.7760 0.5519 0.1116  0.54
Ru1 0.8934 0.7868 0.5574  -0.07
Ce3 0.7760 0.5519 0.3884  0.54
Ce4 0.9114 0.8228 0.7500  0.43
Sn1 0.6081 0.2162 0.7500  -0.02
Ru2 0.1066 0.2132 0.0574  -0.07
Ce5 0.5000 0.0000 0.0000  0.20
Ce6 0.2240 0.4481 0.8884  0.54
Sn2 0.3919 0.7838 0.2500  -0.02
Ru3 0.1066 0.2132 0.4426  -0.07
Ru4 0.8934 0.7868 0.9426  -0.07
Ce7 0.2240 0.4481 0.6116  0.54
Ce8 0.0886 0.1772 0.2500  0.43


Below is a relaxed Sc2HgBr crystal, with properties calculated at the GGA-PBE level.

Summary:
E above lowest polymorph = 0.000 eV per atom
energy relative to the elements, uncorrected = -0.588 eV/atom

a = 3.4493 Å, b = 3.6873 Å, c = 7.7601 Å
α = 90.01°, β = 90.00°, γ = 90.00°
Site moments in Bohr magnetons follow the coordinates.
Atoms (fractional coordinates):
Br1 0.5000 0.2500 0.2500  0.00
Hg1 0.5000 0.7500 0.7500  0.01
Sc1 0.0000 0.2500 0.5408  0.26
Sc2 0.0000 0.2500 0.9592  0.26